(1)
Here is a relaxed MoOs6W crystal from OQMD. Energies are from PBE.

Calculated values
Total energy (eV for the cell shown): -91.6

```
data_MoOs6W
_chemical_formula_sum 'Mo1 Os6 W1'
_cell_length_a 5.5393
_cell_length_b 5.5393
_cell_length_c 4.3955
_cell_angle_alpha 90.00
_cell_angle_beta 90.00
_cell_angle_gamma 120.00
_symmetry_space_group_name_H-M 'P -6 m 2'
_symmetry_Int_Tables_number 187
_symmetry_space_group_name_Hall 'P -6 2'
loop_
_atom_site_label
_atom_site_type_symbol
_atom_site_fract_x
_atom_site_fract_y
_atom_site_fract_z
Mo1 Mo 0.0000 0.0000 0.0000
Os1 Os 0.0010 0.5005 0.0000
Os2 Os 0.1668 0.3335 0.5000
W1 W 0.6667 0.3333 0.5000
```



(2)
Here is a relaxed Li2TaNbIn2Os2 crystal from OQMD. Energies are from PBE.

Calculated values
Total energy (eV for the cell shown): -54.4

```
data_Li2TaNbIn2Os2
_chemical_formula_sum 'Li2 Ta1 Nb1 In2 Os2'
_cell_length_a 4.507
_cell_length_b 4.507
_cell_length_c 6.372
_cell_angle_alpha 90.00
_cell_angle_beta 90.00
_cell_angle_gamma 90.00
_symmetry_space_group_name_H-M 'P -4 m 2'
_symmetry_Int_Tables_number 115
loop_
_symmetry_equiv_pos_as_xyz
'x,y,z'
'y,-x,-z'
'-x,-y,z'
'-y,x,-z'
'-x,y,z'
'-y,-x,-z'
'x,-y,z'
'y,x,-z'
loop_
_atom_site_label
_atom_site_type_symbol
_atom_site_fract_x
_atom_site_fract_y
_atom_site_fract_z
Li1 Li 0.000 0.500 0.250
Ta1 Ta 0.000 0.000 0.500
Nb1 Nb 0.500 0.500 0.000
In1 In 0.000 0.000 0.000
In2 In 0.500 0.500 0.500
Os1 Os 0.000 0.500 0.748
```



(3)
Here is a relaxed PmTeW crystal from OQMD. Energies are from PBE.

Calculated values
Total energy (eV for the cell shown): -69.3
E above lowest polymorph (eV per atom): 0.477

```
data_PmTeW
_chemical_formula_sum 'Pm4 Te4 W4'
_cell_length_a 7.154
_cell_length_b 7.154
_cell_length_c 7.154
_cell_angle_alpha 90.00
_cell_angle_beta 90.00
_cell_angle_gamma 90.00
_symmetry_space_group_name_H-M 'F -4 3 m'
_symmetry_Int_Tables_number 216
_symmetry_space_group_name_Hall 'F -4 2 3'
loop_
_atom_site_label
_atom_site_type_symbol
_atom_site_fract_x
_atom_site_fract_y
_atom_site_fract_z
Pm1 Pm 0.000 0.000 0.000
Te1 Te 0.250 0.250 0.750
W1 W 0.250 0.250 0.250
```



(4)
Here is a relaxed Zr4Co2Hg5 crystal from OQMD. Energies are from PBE.

Calculated values
Total energy (eV for the cell shown): -52.4

```
data_Zr4Co2Hg5
_chemical_formula_sum 'Zr4 Co2 Hg5'
_cell_length_a 7.437
_cell_length_b 3.311
_cell_length_c 9.061
_cell_angle_alpha 90.00
_cell_angle_beta 93.94
_cell_angle_gamma 90.00
_symmetry_space_group_name_H-M 'P 1 2/m 1'
_symmetry_Int_Tables_number 10
loop_
_symmetry_equiv_pos_as_xyz
'x,y,z'
'-x,-y,-z'
'-x,y,-z'
'x,-y,z'
loop_
_atom_site_label
_atom_site_type_symbol
_atom_site_fract_x
_atom_site_fract_y
_atom_site_fract_z
Zr1 Zr 0.176 0.000 0.335
Zr2 Zr 0.206 0.000 0.939
Co1 Co 0.078 0.500 0.133
Hg1 Hg 0.160 0.500 0.639
Hg2 Hg 0.457 0.500 0.164
Hg3 Hg 0.500 0.500 0.500
```



(5)
Here is a relaxed SiNi2SnPt2 crystal from OQMD. Energies are from PBE.

Calculated values
Total energy (eV for the cell shown): -35.3

```
data_SiNi2SnPt2
_chemical_formula_sum 'Si1 Ni2 Sn1 Pt2'
_cell_length_a 3.674
_cell_length_b 3.674
_cell_length_c 6.531
_cell_angle_alpha 90.00
_cell_angle_beta 90.00
_cell_angle_gamma 90.00
_symmetry_space_group_name_H-M 'P 4 m m'
_symmetry_Int_Tables_number 99
loop_
_symmetry_equiv_pos_as_xyz
'x,y,z'
'-y,x,z'
'-x,-y,z'
'y,-x,z'
'-x,y,z'
'y,x,z'
'x,-y,z'
'-y,-x,z'
loop_
_atom_site_label
_atom_site_type_symbol
_atom_site_fract_x
_atom_site_fract_y
_atom_site_fract_z
Si1 Si 0.000 0.000 0.000
Ni1 Ni 0.000 0.500 0.214
Sn1 Sn 0.500 0.500 0.494
Pt1 Pt 0.000 0.000 0.642
Pt2 Pt 0.500 0.500 0.905
```



(6)
Here is a relaxed LaGeAu crystal from OQMD. Energies are from PBE.

Calculated values
Total energy (eV for the cell shown): -45.6

```
data_LaGeAu
_chemical_formula_sum 'La3 Ge3 Au3'
_cell_length_a 7.4526
_cell_length_b 7.4526
_cell_length_c 4.3671
_cell_angle_alpha 90.00
_cell_angle_beta 90.00
_cell_angle_gamma 120.00
_symmetry_space_group_name_H-M 'P -6 2 m'
_symmetry_Int_Tables_number 189
_symmetry_space_group_name_Hall 'P -6 -2'
loop_
_atom_site_label
_atom_site_type_symbol
_atom_site_fract_x
_atom_site_fract_y
_atom_site_fract_z
La1 La 0.0000 0.5902 0.0000
Ge1 Ge 0.0000 0.0000 0.0000
Ge2 Ge 0.3333 0.6667 0.5000
Au1 Au 0.0000 0.2609 0.5000
```